# CrOsAu (PBE, relaxed)
data_CrOsAu
_chemical_formula_sum 'Cr1 Os1 Au1'
_cell_length_a 7.3604
_cell_length_b 7.1461
_cell_length_c 2.6856
_cell_angle_alpha 83.86
_cell_angle_beta 74.87
_cell_angle_gamma 21.27
_symmetry_space_group_name_H-M 'P 1'
_symmetry_Int_Tables_number 1
loop_
_symmetry_equiv_pos_as_xyz
'x,y,z'
loop_
_atom_site_label
_atom_site_type_symbol
_atom_site_fract_x
_atom_site_fract_y
_atom_site_fract_z
Cr1 Cr 0.0000 0.0000 0.0000
Os1 Os 0.3583 0.3583 0.6417
Au1 Au 0.6709 0.6709 0.3291
# magnetization: 0.00 μB/cell
# total energy: -7.555 eV/atom
# formation energy: 0.49 eV per atom

---

# Pr5Dy2Er6 (PBE, relaxed)
data_Pr5Dy2Er6
_chemical_formula_sum 'Pr10 Dy4 Er12'
_cell_length_a 11.6563
_cell_length_b 20.5930
_cell_length_c 3.6042
_cell_angle_alpha 90.00
_cell_angle_beta 90.00
_cell_angle_gamma 90.00
_symmetry_space_group_name_H-M 'P 1'
_symmetry_Int_Tables_number 1
loop_
_symmetry_equiv_pos_as_xyz
'x,y,z'
loop_
_atom_site_label
_atom_site_type_symbol
_atom_site_fract_x
_atom_site_fract_y
_atom_site_fract_z
Pr1 Pr 0.0000 0.0000 0.0000
Pr2 Pr 0.0828 0.2728 0.0000
Pr3 Pr 0.1986 0.5501 0.0000
Pr4 Pr 0.3014 0.0501 0.0000
Pr5 Pr 0.4172 0.7728 0.0000
Pr6 Pr 0.5000 0.5000 0.0000
Pr7 Pr 0.5828 0.2272 0.0000
Pr8 Pr 0.6986 0.9499 0.0000
Pr9 Pr 0.8014 0.4499 0.0000
Pr10 Pr 0.9172 0.7272 0.0000
Dy1 Dy 0.1717 0.7111 0.5000
Dy2 Dy 0.3283 0.2111 0.5000
Dy3 Dy 0.6717 0.7889 0.5000
Dy4 Dy 0.8283 0.2889 0.5000
Er1 Er 0.0624 0.4188 0.5000
Er2 Er 0.0799 0.1317 0.5000
Er3 Er 0.1758 0.8620 0.0000
Er4 Er 0.3242 0.3620 0.0000
Er5 Er 0.4201 0.6317 0.5000
Er6 Er 0.4376 0.9188 0.5000
Er7 Er 0.5624 0.0812 0.5000
Er8 Er 0.5799 0.3683 0.5000
Er9 Er 0.6758 0.6380 0.0000
Er10 Er 0.8242 0.1380 0.0000
Er11 Er 0.9201 0.8683 0.5000
Er12 Er 0.9376 0.5812 0.5000
# magnetization: 0.00 μB/cell
# total energy: -4.557 eV/atom
# formation energy: 0.10 eV per atom

---

# Pm3ZnPd4 (PBE, relaxed)
data_Pm3ZnPd4
_chemical_formula_sum 'Pm3 Zn1 Pd4'
_cell_length_a 8.2021
_cell_length_b 8.2021
_cell_length_c 8.2021
_cell_angle_alpha 151.39
_cell_angle_beta 133.81
_cell_angle_gamma 55.24
_symmetry_space_group_name_H-M 'P 1'
_symmetry_Int_Tables_number 1
loop_
_symmetry_equiv_pos_as_xyz
'x,y,z'
loop_
_atom_site_label
_atom_site_type_symbol
_atom_site_fract_x
_atom_site_fract_y
_atom_site_fract_z
Pm1 Pm 0.0000 0.0000 0.0000
Pm2 Pm 0.3085 0.8085 0.5000
Pm3 Pm 0.6915 0.1915 0.5000
Zn1 Zn 0.5000 0.5000 0.0000
Pd1 Pd 0.0907 0.3791 0.7116
Pd2 Pd 0.3324 0.6209 0.7116
Pd3 Pd 0.6676 0.3791 0.2884
Pd4 Pd 0.9093 0.6209 0.2884
# magnetization: 0.00 μB/cell
# total energy: -5.190 eV/atom
# formation energy: -0.65 eV per atom

---

Q: What is the magnetization in the third record?
A: 0.00 μB/cell

---

Q: What is the total energy in the first record?
A: -7.555 eV/atom